[1]
DFT (PBE-GGA) results for a relaxed Zr2Cu crystal.

Structure (CIF):
```
data_Zr2Cu
_chemical_formula_sum 'Zr2 Cu1'
_cell_length_a 4.626
_cell_length_b 4.626
_cell_length_c 3.211
_cell_angle_alpha 90.00
_cell_angle_beta 90.00
_cell_angle_gamma 120.00
_space_group_name_H-M_alt 'P 1'
_space_group_IT_number 1
loop_
_space_group_symop_operation_xyz
'x,y,z'
loop_
_atom_site_label
_atom_site_type_symbol
_atom_site_fract_x
_atom_site_fract_y
_atom_site_fract_z
Cu1 Cu 0.000 0.000 0.000
Zr1 Zr 0.333 0.667 0.269
Zr2 Zr 0.667 0.333 0.731
```

Computed properties:
The formation energy from the elements is 0.17 eV per atom. The symmetry is No. 164.

***

[2]
DFT (PBE-GGA) results for a relaxed Zr2Cu crystal.

Structure (CIF):
```
data_Zr2Cu
_chemical_formula_sum 'Zr2 Cu1'
_cell_length_a 3.249
_cell_length_b 3.249
_cell_length_c 6.712
_cell_angle_alpha 90.00
_cell_angle_beta 90.00
_cell_angle_gamma 120.00
_space_group_name_H-M_alt 'P 1'
_space_group_IT_number 1
loop_
_space_group_symop_operation_xyz
'x,y,z'
loop_
_atom_site_label
_atom_site_type_symbol
_atom_site_fract_x
_atom_site_fract_y
_atom_site_fract_z
Cu1 Cu 0.000 0.000 0.000
Zr1 Zr 0.333 0.667 0.684
Zr2 Zr 0.667 0.333 0.316
```

Computed properties:
The formation energy from the elements is 0.10 eV per atom. The symmetry is No. 164.

***

[3]
DFT (PBE-GGA) results for a relaxed ZrCu2 crystal.

Structure (CIF):
```
data_ZrCu2
_chemical_formula_sum 'Zr2 Cu4'
_cell_length_a 5.377
_cell_length_b 5.377
_cell_length_c 6.101
_cell_angle_alpha 71.72
_cell_angle_beta 71.72
_cell_angle_gamma 34.63
_space_group_name_H-M_alt 'P 1'
_space_group_IT_number 1
loop_
_space_group_symop_operation_xyz
'x,y,z'
loop_
_atom_site_label
_atom_site_type_symbol
_atom_site_fract_x
_atom_site_fract_y
_atom_site_fract_z
Cu1 Cu 0.518 0.518 0.286
Cu2 Cu 0.835 0.835 0.560
Cu3 Cu 0.482 0.482 0.714
Cu4 Cu 0.165 0.165 0.440
Zr1 Zr 0.158 0.158 0.903
Zr2 Zr 0.842 0.842 0.097
```

Computed properties:
The formation energy from the elements is -0.04 eV per atom. The symmetry is No. 12.

***

[4]
DFT (PBE-GGA) results for a relaxed Zr2Cu crystal.

Structure (CIF):
```
data_Zr2Cu
_chemical_formula_sum 'Zr16 Cu8'
_cell_length_a 8.715
_cell_length_b 8.715
_cell_length_c 8.715
_cell_angle_alpha 60.00
_cell_angle_beta 60.00
_cell_angle_gamma 60.00
_space_group_name_H-M_alt 'P 1'
_space_group_IT_number 1
loop_
_space_group_symop_operation_xyz
'x,y,z'
loop_
_atom_site_label
_atom_site_type_symbol
_atom_site_fract_x
_atom_site_fract_y
_atom_site_fract_z
Zr1 Zr 0.185 0.185 0.815
Zr2 Zr 0.625 0.125 0.625
Zr3 Zr 0.185 0.815 0.815
Zr4 Zr 0.815 0.185 0.815
Zr5 Zr 0.185 0.815 0.185
Zr6 Zr 0.065 0.435 0.065
Zr7 Zr 0.625 0.625 0.125
Zr8 Zr 0.125 0.625 0.625
Zr9 Zr 0.625 0.625 0.625
Zr10 Zr 0.815 0.185 0.185
Zr11 Zr 0.435 0.065 0.065
Zr12 Zr 0.815 0.815 0.185
Zr13 Zr 0.435 0.435 0.065
Zr14 Zr 0.065 0.065 0.435
Zr15 Zr 0.065 0.435 0.435
Zr16 Zr 0.435 0.065 0.435
Cu1 Cu 0.416 0.416 0.752
Cu2 Cu 0.498 0.834 0.834
Cu3 Cu 0.834 0.498 0.834
Cu4 Cu 0.416 0.752 0.416
Cu5 Cu 0.752 0.416 0.416
Cu6 Cu 0.834 0.834 0.834
Cu7 Cu 0.834 0.834 0.498
Cu8 Cu 0.416 0.416 0.416
```

Computed properties:
The formation energy from the elements is -0.06 eV per atom. The symmetry is No. 227.

***

[5]
DFT (PBE-GGA) results for a relaxed Zr4Cu crystal.

Structure (CIF):
```
data_Zr4Cu
_chemical_formula_sum 'Zr4 Cu1'
_cell_length_a 5.915
_cell_length_b 5.915
_cell_length_c 5.915
_cell_angle_alpha 94.30
_cell_angle_beta 94.30
_cell_angle_gamma 148.22
_space_group_name_H-M_alt 'P 1'
_space_group_IT_number 1
loop_
_space_group_symop_operation_xyz
'x,y,z'
loop_
_atom_site_label
_atom_site_type_symbol
_atom_site_fract_x
_atom_site_fract_y
_atom_site_fract_z
Zr1 Zr 0.581 0.221 0.802
Zr2 Zr 0.221 0.419 0.639
Zr3 Zr 0.419 0.779 0.198
Zr4 Zr 0.779 0.581 0.361
Cu1 Cu 0.000 0.000 0.000
```

Computed properties:
The formation energy from the elements is -0.04 eV per atom. The symmetry is No. 87.

***

[6]
DFT (PBE-GGA) results for a relaxed Zr4Cu crystal.

Structure (CIF):
```
data_Zr4Cu
_chemical_formula_sum 'Zr8 Cu2'
_cell_length_a 7.263
_cell_length_b 7.263
_cell_length_c 6.218
_cell_angle_alpha 100.93
_cell_angle_beta 100.93
_cell_angle_gamma 132.48
_space_group_name_H-M_alt 'P 1'
_space_group_IT_number 1
loop_
_space_group_symop_operation_xyz
'x,y,z'
loop_
_atom_site_label
_atom_site_type_symbol
_atom_site_fract_x
_atom_site_fract_y
_atom_site_fract_z
Cu1 Cu 0.598 0.098 0.500
Cu2 Cu 0.348 0.348 0.000
Zr1 Zr 0.164 0.893 0.642
Zr2 Zr 0.799 0.917 0.327
Zr3 Zr 0.772 0.001 0.858
Zr4 Zr 0.589 0.472 0.673
Zr5 Zr 0.167 0.549 0.827
Zr6 Zr 0.251 0.522 0.358
Zr7 Zr 0.143 0.914 0.142
Zr8 Zr 0.722 0.339 0.173
```

Computed properties:
The formation energy from the elements is 0.06 eV per atom. The symmetry is No. 43.

***

[7]
DFT (PBE-GGA) results for a relaxed ZrCu3 crystal.

Structure (CIF):
```
data_ZrCu3
_chemical_formula_sum 'Zr1 Cu3'
_cell_length_a 2.942
_cell_length_b 4.736
_cell_length_c 4.643
_cell_angle_alpha 103.96
_cell_angle_beta 90.00
_cell_angle_gamma 108.09
_space_group_name_H-M_alt 'P 1'
_space_group_IT_number 1
loop_
_space_group_symop_operation_xyz
'x,y,z'
loop_
_atom_site_label
_atom_site_type_symbol
_atom_site_fract_x
_atom_site_fract_y
_atom_site_fract_z
Zr1 Zr 0.750 0.500 0.250
Cu1 Cu 0.986 0.971 0.970
Cu2 Cu 0.514 0.029 0.530
Cu3 Cu 0.250 0.500 0.750
```

Computed properties:
The formation energy from the elements is 0.03 eV per atom. The symmetry is No. 12.

***

[8]
DFT (PBE-GGA) results for a relaxed Zr2Cu crystal.

Structure (CIF):
```
data_Zr2Cu
_chemical_formula_sum 'Zr4 Cu2'
_cell_length_a 5.419
_cell_length_b 5.419
_cell_length_c 5.431
_cell_angle_alpha 102.71
_cell_angle_beta 102.71
_cell_angle_gamma 124.59
_space_group_name_H-M_alt 'P 1'
_space_group_IT_number 1
loop_
_space_group_symop_operation_xyz
'x,y,z'
loop_
_atom_site_label
_atom_site_type_symbol
_atom_site_fract_x
_atom_site_fract_y
_atom_site_fract_z
Zr1 Zr 0.343 0.157 0.500
Zr2 Zr 0.657 0.843 0.500
Zr3 Zr 0.842 0.342 0.185
Zr4 Zr 0.158 0.658 0.815
Cu1 Cu 0.250 0.250 0.000
Cu2 Cu 0.750 0.750 0.000
```

Computed properties:
The formation energy from the elements is -0.11 eV per atom. The symmetry is No. 12.

***

[9]
DFT (PBE-GGA) results for a relaxed ZrCu5 crystal.

Structure (CIF):
```
data_ZrCu5
_chemical_formula_sum 'Zr1 Cu5'
_cell_length_a 3.061
_cell_length_b 3.061
_cell_length_c 8.849
_cell_angle_alpha 90.00
_cell_angle_beta 90.00
_cell_angle_gamma 90.00
_space_group_name_H-M_alt 'P 1'
_space_group_IT_number 1
loop_
_space_group_symop_operation_xyz
'x,y,z'
loop_
_atom_site_label
_atom_site_type_symbol
_atom_site_fract_x
_atom_site_fract_y
_atom_site_fract_z
Cu1 Cu 0.500 0.500 0.648
Cu2 Cu 0.000 0.000 0.793
Cu3 Cu 0.000 0.000 0.500
Cu4 Cu 0.000 0.000 0.207
Cu5 Cu 0.500 0.500 0.352
Zr1 Zr 0.500 0.500 0.000
```

Computed properties:
The formation energy from the elements is -0.01 eV per atom. The symmetry is No. 123.

***

[10]
DFT (PBE-GGA) results for a relaxed Zr5Cu6 crystal.

Structure (CIF):
```
data_Zr5Cu6
_chemical_formula_sum 'Zr5 Cu6'
_cell_length_a 4.508
_cell_length_b 6.517
_cell_length_c 7.642
_cell_angle_alpha 115.25
_cell_angle_beta 107.16
_cell_angle_gamma 89.98
_space_group_name_H-M_alt 'P 1'
_space_group_IT_number 1
loop_
_space_group_symop_operation_xyz
'x,y,z'
loop_
_atom_site_label
_atom_site_type_symbol
_atom_site_fract_x
_atom_site_fract_y
_atom_site_fract_z
Cu1 Cu 0.133 0.941 0.266
Cu2 Cu 0.133 0.325 0.266
Cu3 Cu 0.867 0.059 0.734
Cu4 Cu 0.500 0.200 0.000
Cu5 Cu 0.500 0.800 0.000
Cu6 Cu 0.867 0.675 0.734
Zr1 Zr 0.697 0.197 0.394
Zr2 Zr 0.343 0.343 0.686
Zr3 Zr 0.303 0.803 0.606
Zr4 Zr 0.000 0.500 0.000
Zr5 Zr 0.657 0.657 0.314
```

Computed properties:
The formation energy from the elements is 0.04 eV per atom. The symmetry is No. 71.

***

[11]
DFT (PBE-GGA) results for a relaxed Zr2Cu crystal.

Structure (CIF):
```
data_Zr2Cu
_chemical_formula_sum 'Zr4 Cu2'
_cell_length_a 5.533
_cell_length_b 5.533
_cell_length_c 7.248
_cell_angle_alpha 76.06
_cell_angle_beta 76.06
_cell_angle_gamma 33.43
_space_group_name_H-M_alt 'P 1'
_space_group_IT_number 1
loop_
_space_group_symop_operation_xyz
'x,y,z'
loop_
_atom_site_label
_atom_site_type_symbol
_atom_site_fract_x
_atom_site_fract_y
_atom_site_fract_z
Zr1 Zr 0.914 0.914 0.562
Zr2 Zr 0.305 0.305 0.936
Zr3 Zr 0.636 0.636 0.275
Zr4 Zr 0.623 0.623 0.722
Cu1 Cu 0.004 0.004 0.048
Cu2 Cu 0.351 0.351 0.291
```

Computed properties:
The formation energy from the elements is 0.04 eV per atom. The symmetry is No. 8.

***

[12]
DFT (PBE-GGA) results for a relaxed ZrCu2 crystal.

Structure (CIF):
```
data_ZrCu2
_chemical_formula_sum 'Zr2 Cu4'
_cell_length_a 8.218
_cell_length_b 8.218
_cell_length_c 8.218
_cell_angle_alpha 154.91
_cell_angle_beta 154.91
_cell_angle_gamma 35.78
_space_group_name_H-M_alt 'P 1'
_space_group_IT_number 1
loop_
_space_group_symop_operation_xyz
'x,y,z'
loop_
_atom_site_label
_atom_site_type_symbol
_atom_site_fract_x
_atom_site_fract_y
_atom_site_fract_z
Cu1 Cu 0.327 0.827 0.500
Cu2 Cu 0.423 0.423 0.000
Cu3 Cu 0.577 0.577 0.000
Cu4 Cu 0.173 0.673 0.500
Zr1 Zr 0.750 0.250 0.500
Zr2 Zr 0.000 0.000 0.000
```

Computed properties:
The formation energy from the elements is 0.02 eV per atom. The symmetry is No. 141.

***

[13]
DFT (PBE-GGA) results for a relaxed Zr3Cu2 crystal.

Structure (CIF):
```
data_Zr3Cu2
_chemical_formula_sum 'Zr3 Cu2'
_cell_length_a 3.976
_cell_length_b 5.388
_cell_length_c 5.388
_cell_angle_alpha 67.75
_cell_angle_beta 68.35
_cell_angle_gamma 68.35
_space_group_name_H-M_alt 'P 1'
_space_group_IT_number 1
loop_
_space_group_symop_operation_xyz
'x,y,z'
loop_
_atom_site_label
_atom_site_type_symbol
_atom_site_fract_x
_atom_site_fract_y
_atom_site_fract_z
Zr1 Zr 0.200 0.300 0.300
Zr2 Zr 0.800 0.700 0.700
Zr3 Zr 0.000 0.000 0.000
Cu1 Cu 0.500 0.702 0.298
Cu2 Cu 0.500 0.298 0.702
```

Computed properties:
The formation energy from the elements is 0.00 eV per atom. The symmetry is No. 71.

***

[14]
DFT (PBE-GGA) results for a relaxed ZrCu2 crystal.

Structure (CIF):
```
data_ZrCu2
_chemical_formula_sum 'Zr2 Cu4'
_cell_length_a 7.066
_cell_length_b 7.066
_cell_length_c 4.652
_cell_angle_alpha 90.00
_cell_angle_beta 90.00
_cell_angle_gamma 156.05
_space_group_name_H-M_alt 'P 1'
_space_group_IT_number 1
loop_
_space_group_symop_operation_xyz
'x,y,z'
loop_
_atom_site_label
_atom_site_type_symbol
_atom_site_fract_x
_atom_site_fract_y
_atom_site_fract_z
Zr1 Zr 0.892 0.108 0.250
Zr2 Zr 0.108 0.892 0.750
Cu1 Cu 0.560 0.440 0.250
Cu2 Cu 0.219 0.781 0.250
Cu3 Cu 0.440 0.560 0.750
Cu4 Cu 0.781 0.219 0.750
```

Computed properties:
The formation energy from the elements is -0.04 eV per atom. The symmetry is No. 63.

***

[15]
DFT (PBE-GGA) results for a relaxed Zr7Cu crystal.

Structure (CIF):
```
data_Zr7Cu
_chemical_formula_sum 'Zr7 Cu1'
_cell_length_a 6.286
_cell_length_b 6.286
_cell_length_c 6.286
_cell_angle_alpha 60.00
_cell_angle_beta 60.00
_cell_angle_gamma 60.00
_space_group_name_H-M_alt 'P 1'
_space_group_IT_number 1
loop_
_space_group_symop_operation_xyz
'x,y,z'
loop_
_atom_site_label
_atom_site_type_symbol
_atom_site_fract_x
_atom_site_fract_y
_atom_site_fract_z
Zr1 Zr 0.500 0.500 0.500
Zr2 Zr 0.500 0.000 0.500
Zr3 Zr 0.500 0.000 0.000
Zr4 Zr 0.000 0.500 0.000
Zr5 Zr 0.500 0.500 0.000
Zr6 Zr 0.000 0.500 0.500
Zr7 Zr 0.000 0.000 0.500
Cu1 Cu 0.000 0.000 0.000
```

Computed properties:
The formation energy from the elements is 0.09 eV per atom. The symmetry is No. 225.

***

[16]
DFT (PBE-GGA) results for a relaxed ZrCu5 crystal.

Structure (CIF):
```
data_ZrCu5
_chemical_formula_sum 'Zr1 Cu5'
_cell_length_a 7.245
_cell_length_b 7.245
_cell_length_c 4.280
_cell_angle_alpha 90.00
_cell_angle_beta 90.00
_cell_angle_gamma 158.03
_space_group_name_H-M_alt 'P 1'
_space_group_IT_number 1
loop_
_space_group_symop_operation_xyz
'x,y,z'
loop_
_atom_site_label
_atom_site_type_symbol
_atom_site_fract_x
_atom_site_fract_y
_atom_site_fract_z
Cu1 Cu 0.016 0.984 0.000
Cu2 Cu 0.564 0.436 0.500
Cu3 Cu 0.667 0.333 0.000
Cu4 Cu 0.214 0.786 0.500
Cu5 Cu 0.314 0.686 0.000
Zr1 Zr 0.891 0.109 0.500
```

Computed properties:
The formation energy from the elements is 0.05 eV per atom. The symmetry is No. 38.

***

[17]
DFT (PBE-GGA) results for a relaxed ZrCu3 crystal.

Structure (CIF):
```
data_ZrCu3
_chemical_formula_sum 'Zr1 Cu3'
_cell_length_a 5.170
_cell_length_b 5.170
_cell_length_c 5.170
_cell_angle_alpha 146.70
_cell_angle_beta 127.34
_cell_angle_gamma 63.75
_space_group_name_H-M_alt 'P 1'
_space_group_IT_number 1
loop_
_space_group_symop_operation_xyz
'x,y,z'
loop_
_atom_site_label
_atom_site_type_symbol
_atom_site_fract_x
_atom_site_fract_y
_atom_site_fract_z
Cu1 Cu 0.311 0.227 0.084
Cu2 Cu 0.857 0.773 0.084
Cu3 Cu 0.083 0.500 0.583
Zr1 Zr 0.583 0.000 0.583
```

Computed properties:
The formation energy from the elements is 0.04 eV per atom. The symmetry is No. 71.

***

[18]
DFT (PBE-GGA) results for a relaxed ZrCu7 crystal.

Structure (CIF):
```
data_ZrCu7
_chemical_formula_sum 'Zr1 Cu7'
_cell_length_a 5.355
_cell_length_b 5.355
_cell_length_c 5.355
_cell_angle_alpha 60.00
_cell_angle_beta 60.00
_cell_angle_gamma 60.00
_space_group_name_H-M_alt 'P 1'
_space_group_IT_number 1
loop_
_space_group_symop_operation_xyz
'x,y,z'
loop_
_atom_site_label
_atom_site_type_symbol
_atom_site_fract_x
_atom_site_fract_y
_atom_site_fract_z
Cu1 Cu 0.500 0.000 0.500
Cu2 Cu 0.000 0.500 0.500
Cu3 Cu 0.500 0.500 0.000
Cu4 Cu 0.000 0.500 0.000
Cu5 Cu 0.500 0.000 0.000
Cu6 Cu 0.500 0.500 0.500
Cu7 Cu 0.000 0.000 0.500
Zr1 Zr 0.000 0.000 0.000
```

Computed properties:
The formation energy from the elements is 0.13 eV per atom. The symmetry is No. 225.

***

[19]
DFT (PBE-GGA) results for a relaxed ZrCu2 crystal.

Structure (CIF):
```
data_ZrCu2
_chemical_formula_sum 'Zr3 Cu6'
_cell_length_a 6.355
_cell_length_b 6.355
_cell_length_c 4.452
_cell_angle_alpha 90.00
_cell_angle_beta 90.00
_cell_angle_gamma 120.00
_space_group_name_H-M_alt 'P 1'
_space_group_IT_number 1
loop_
_space_group_symop_operation_xyz
'x,y,z'
loop_
_atom_site_label
_atom_site_type_symbol
_atom_site_fract_x
_atom_site_fract_y
_atom_site_fract_z
Zr1 Zr 0.667 0.333 0.000
Zr2 Zr 0.000 0.000 0.500
Zr3 Zr 0.333 0.667 0.000
Cu1 Cu 0.000 0.224 0.000
Cu2 Cu 0.558 0.558 0.500
Cu3 Cu 0.776 0.776 0.000
Cu4 Cu 0.000 0.442 0.500
Cu5 Cu 0.442 0.000 0.500
Cu6 Cu 0.224 0.000 0.000
```

Computed properties:
The formation energy from the elements is 0.13 eV per atom. The symmetry is No. 189.

***

[20]
DFT (PBE-GGA) results for a relaxed ZrCu2 crystal.

Structure (CIF):
```
data_ZrCu2
_chemical_formula_sum 'Zr2 Cu4'
_cell_length_a 5.368
_cell_length_b 5.368
_cell_length_c 5.368
_cell_angle_alpha 125.89
_cell_angle_beta 125.89
_cell_angle_gamma 80.08
_space_group_name_H-M_alt 'P 1'
_space_group_IT_number 1
loop_
_space_group_symop_operation_xyz
'x,y,z'
loop_
_atom_site_label
_atom_site_type_symbol
_atom_site_fract_x
_atom_site_fract_y
_atom_site_fract_z
Zr1 Zr 0.250 0.250 0.000
Zr2 Zr 0.750 0.750 0.000
Cu1 Cu 0.165 0.665 0.830
Cu2 Cu 0.835 0.335 0.170
Cu3 Cu 0.335 0.165 0.500
Cu4 Cu 0.665 0.835 0.500
```

Computed properties:
The formation energy from the elements is 0.15 eV per atom. The symmetry is No. 140.